Record 1
A geometry-optimized Ac3LaPr6 structure. Source: Alexandria, functional PBE-GGA.

Output
Its density of states at the Fermi level is 14.9 states/eV per cell. The symmetry is R3m, No. 160. For the density, the calculation gives 6776 kg/m³. The value obtained for the energy above the most stable polymorph in this dataset is 0 kJ/mol of formula units.

a = 8.6458 Å, b = 8.6458 Å, c = 8.6458 Å
α = 113.45°, β = 113.45°, γ = 113.45°
Element x y z (fractional)
1 Ac 0.2117 0.2117 0.5767
2 Ac 0.2117 0.5767 0.2117
3 Ac 0.5767 0.2117 0.2117
4 La 0.5235 0.5235 0.5235
5 Pr 0.0288 0.0288 0.7948
6 Pr 0.0288 0.7948 0.0288
7 Pr 0.1647 0.6624 0.6624
8 Pr 0.6624 0.1647 0.6624
9 Pr 0.6624 0.6624 0.1647
10 Pr 0.7948 0.0288 0.0288

***

Record 2
A geometry-optimized Ac4La5Pr structure. Source: Alexandria, functional PBE-GGA.

Output
Its density of states at the Fermi level is 33.9 states/eV per cell. The symmetry is Pmmn, No. 59. For the density, the calculation gives 6814 kg/m³. The value obtained for the energy above the most stable polymorph in this dataset is 122 kJ/mol of formula units.

a = 7.4137 Å, b = 9.0254 Å, c = 12.6995 Å
α = 90.00°, β = 90.00°, γ = 90.00°
Element x y z (fractional)
1 Ac 0.9997 0.2500 0.0319
2 Ac 0.0003 0.7500 0.9681
3 Ac 0.2500 0.0047 0.4995
4 Ac 0.2500 0.4953 0.4995
5 Ac 0.5003 0.2500 0.0319
6 Ac 0.4997 0.7500 0.9681
7 Ac 0.7500 0.5047 0.5005
8 Ac 0.7500 0.9953 0.5005
9 La 0.0010 0.0699 0.7705
10 La 0.0010 0.4301 0.7705
11 La 0.2500 0.7500 0.7146
12 La 0.4990 0.0699 0.7705
13 La 0.4990 0.4301 0.7705
14 La 0.5010 0.5699 0.2295
15 La 0.5010 0.9301 0.2295
16 La 0.7500 0.2500 0.2854
17 La 0.9990 0.5699 0.2295
18 La 0.9990 0.9301 0.2295
19 Pr 0.2500 0.2500 0.2805
20 Pr 0.7500 0.7500 0.7195

***

Record 3
A geometry-optimized AcLa2Pr structure. Source: Alexandria, functional PBE-GGA.

Output
Its density of states at the Fermi level is 7.2 states/eV per cell. The symmetry is R3m, No. 160. For the density, the calculation gives 6860 kg/m³. The value obtained for the energy above the most stable polymorph in this dataset is 7 kJ/mol of formula units.

a = 12.5703 Å, b = 12.5703 Å, c = 12.5703 Å
α = 17.48°, β = 17.48°, γ = 17.48°
Element x y z (fractional)
1 Ac 0.0000 0.0000 0.0000
2 La 0.5814 0.5814 0.5814
3 La 0.7528 0.7528 0.7528
4 Pr 0.1674 0.1674 0.1674

***

Record 4
A geometry-optimized AcLa2Pr7 structure. Source: Alexandria, functional PBE-GGA.

Output
Its density of states at the Fermi level is 19.0 states/eV per cell. The symmetry is P-1, No. 2. For the density, the calculation gives 6644 kg/m³. The value obtained for the energy above the most stable polymorph in this dataset is 0 kJ/mol of formula units.

a = 6.4876 Å, b = 6.4982 Å, c = 9.9151 Å
α = 102.68°, β = 108.94°, γ = 99.59°
Element x y z (fractional)
1 Ac 0.0000 0.0000 0.0000
2 La 0.4031 0.2025 0.4033
3 La 0.5969 0.7975 0.5967
4 Pr 0.0000 0.5000 0.5000
5 Pr 0.2015 0.1001 0.6982
6 Pr 0.2019 0.6019 0.2023
7 Pr 0.3985 0.6951 0.8986
8 Pr 0.6015 0.3049 0.1014
9 Pr 0.7981 0.3981 0.7977
10 Pr 0.7985 0.8999 0.3018

***

Record 5
A geometry-optimized AcLa2Pr2 structure. Source: Alexandria, functional PBE-GGA.

Output
Its density of states at the Fermi level is 14.8 states/eV per cell. The symmetry is P6_3/mmc, No. 194. For the density, the calculation gives 6574 kg/m³. The value obtained for the energy above the most stable polymorph in this dataset is 64 kJ/mol of formula units.

a = 5.9125 Å, b = 5.9125 Å, c = 13.1257 Å
α = 90.00°, β = 90.00°, γ = 120.00°
Element x y z (fractional)
1 Ac 0.0000 0.0000 0.2500
2 Ac 0.0000 0.0000 0.7500
3 La 0.3333 0.6667 0.1104
4 La 0.3333 0.6667 0.3896
5 La 0.6667 0.3333 0.6104
6 La 0.6667 0.3333 0.8896
7 Pr 0.0000 0.0000 0.0000
8 Pr 0.0000 0.0000 0.5000
9 Pr 0.3333 0.6667 0.7500
10 Pr 0.6667 0.3333 0.2500

***

Record 6
A geometry-optimized Ac10LaPr4 structure. Source: Alexandria, functional PBE-GGA.

Output
Its density of states at the Fermi level is 28.5 states/eV per cell. The symmetry is I4/m, No. 87. For the density, the calculation gives 7142 kg/m³. Its uncorrected energy is -58.158 eV for the cell shown.

a = 9.6486 Å, b = 9.6486 Å, c = 9.6486 Å
α = 110.23°, β = 110.23°, γ = 107.95°
Element x y z (fractional)
1 Ac 0.0473 0.3862 0.0981
2 Ac 0.0508 0.9527 0.3389
3 Ac 0.2500 0.7500 0.5000
4 Ac 0.2881 0.9492 0.9019
5 Ac 0.3862 0.2881 0.3389
6 Ac 0.6138 0.7119 0.6611
7 Ac 0.7119 0.0508 0.0981
8 Ac 0.7500 0.2500 0.5000
9 Ac 0.9492 0.0473 0.6611
10 Ac 0.9527 0.6138 0.9019
11 La 0.0000 0.0000 0.0000
12 Pr 0.2253 0.4538 0.6791
13 Pr 0.4538 0.7747 0.2285
14 Pr 0.5462 0.2253 0.7715
15 Pr 0.7747 0.5462 0.3209

***

Record 7
A geometry-optimized AcLa2Pr7 structure. Source: Alexandria, functional PBE-GGA.

Output
Its density of states at the Fermi level is 14.6 states/eV per cell. The symmetry is Cmmm, No. 65. For the density, the calculation gives 5753 kg/m³. The value obtained for the energy above the most stable polymorph in this dataset is 516 kJ/mol of formula units.

a = 9.5579 Å, b = 9.5579 Å, c = 5.6786 Å
α = 90.00°, β = 90.00°, γ = 123.93°
Element x y z (fractional)
1 Ac 0.0000 0.0000 0.0000
2 La 0.2997 0.7003 0.5000
3 La 0.7003 0.2997 0.5000
4 Pr 0.0663 0.3001 0.5000
5 Pr 0.2324 0.7676 0.0000
6 Pr 0.3001 0.0663 0.5000
7 Pr 0.5000 0.5000 0.5000
8 Pr 0.6999 0.9337 0.5000
9 Pr 0.7676 0.2324 0.0000
10 Pr 0.9337 0.6999 0.5000

***

Record 8
A geometry-optimized Ac2La5Pr12 structure. Source: Alexandria, functional PBE-GGA.

Output
Its density of states at the Fermi level is 31.0 states/eV per cell. The symmetry is C2/m, No. 12. For the density, the calculation gives 6576 kg/m³. The value obtained for the energy above the most stable polymorph in this dataset is 0 kJ/mol of formula units.

a = 9.0796 Å, b = 9.0796 Å, c = 9.8393 Å
α = 109.91°, β = 109.91°, γ = 82.64°
Element x y z (fractional)
1 Ac 0.2372 0.7628 0.0000
2 Ac 0.7628 0.2372 0.0000
3 La 0.1910 0.1910 0.2396
4 La 0.3095 0.3095 0.6755
5 La 0.5000 0.5000 0.5000
6 La 0.6905 0.6905 0.3245
7 La 0.8090 0.8090 0.7604
8 Pr 0.0643 0.5558 0.1949
9 Pr 0.0731 0.0731 0.7743
10 Pr 0.1143 0.6704 0.5730
11 Pr 0.3296 0.8857 0.4270
12 Pr 0.3699 0.3699 0.0528
13 Pr 0.4442 0.9357 0.8051
14 Pr 0.5558 0.0643 0.1949
15 Pr 0.6301 0.6301 0.9472
16 Pr 0.6704 0.1143 0.5730
17 Pr 0.8857 0.3296 0.4270
18 Pr 0.9269 0.9269 0.2257
19 Pr 0.9357 0.4442 0.8051

***

Record 9
A geometry-optimized Ac4La3Pr structure. Source: Alexandria, functional PBE-GGA.

Output
Its density of states at the Fermi level is 20.5 states/eV per cell. The symmetry is Cmmm, No. 65. For the density, the calculation gives 7289 kg/m³. The value obtained for the energy above the most stable polymorph in this dataset is 259 kJ/mol of formula units.

a = 9.5397 Å, b = 9.5397 Å, c = 3.7038 Å
α = 90.00°, β = 90.00°, γ = 97.86°
Element x y z (fractional)
1 Ac 0.2494 0.2494 0.5000
2 Ac 0.2491 0.7509 0.0000
3 Ac 0.7509 0.2491 0.0000
4 Ac 0.7506 0.7506 0.5000
5 La 0.0000 0.0000 0.0000
6 La 0.0000 0.5000 0.5000
7 La 0.5000 0.0000 0.5000
8 Pr 0.5000 0.5000 0.0000